1.
# SrAlF2 PBE relaxed
# Crystal system   tetragonal
# Offset from the most stable computed form   0.3141 eV/atom
# Energy relative to the elements, uncorrected   -2.088 eV/atom
# VASP energy   -70.08 eV/cell
data_SrAlF2
_chemical_formula_sum 'Sr4 Al4 F8'
_space_group_name_H-M_alt 'I -4 2 d'
_space_group_IT_number 122
_space_group_name_Hall 'I -4 2bw'
_cell_length_a 6.070
_cell_length_b 6.070
_cell_length_c 11.713
_cell_angle_alpha 90.00
_cell_angle_beta 90.00
_cell_angle_gamma 90.00
loop_
_atom_site_label
_atom_site_type_symbol
_atom_site_fract_x
_atom_site_fract_y
_atom_site_fract_z
_atom_site_occupancy
Sr1 Sr 0.000 0.000 0.000 1
Al1 Al 0.000 0.000 0.500 1
F1 F 0.162 0.250 0.125 1


2.
# SrAlF2 PBE relaxed
# Crystal system   trigonal
# Offset from the most stable computed form   0.0000 eV/atom
# Energy relative to the elements, uncorrected   -2.402 eV/atom
# VASP energy   -56.33 eV/cell
data_SrAlF2
_chemical_formula_sum 'Sr3 Al3 F6'
_space_group_name_H-M_alt 'R -3 m'
_space_group_IT_number 166
_space_group_name_Hall '-R 3 2"'
_cell_length_a 4.0104
_cell_length_b 4.0104
_cell_length_c 18.7479
_cell_angle_alpha 90.00
_cell_angle_beta 90.00
_cell_angle_gamma 120.00
loop_
_atom_site_label
_atom_site_type_symbol
_atom_site_fract_x
_atom_site_fract_y
_atom_site_fract_z
_atom_site_occupancy
Sr1 Sr 0.0000 0.0000 0.0000 1
Al1 Al 0.0000 0.0000 0.5000 1
F1 F 0.0000 0.0000 0.3785 1


3.
# Sr2AlF PBE relaxed
# Crystal system   tetragonal
# Offset from the most stable computed form   0.0000 eV/atom
# Energy relative to the elements, uncorrected   -1.311 eV/atom
# VASP energy   -56.88 eV/cell
data_Sr2AlF
_chemical_formula_sum 'Sr8 Al4 F4'
_space_group_name_H-M_alt 'I -4 2 d'
_space_group_IT_number 122
_space_group_name_Hall 'I -4 2bw'
_cell_length_a 7.571
_cell_length_b 7.571
_cell_length_c 8.433
_cell_angle_alpha 90.00
_cell_angle_beta 90.00
_cell_angle_gamma 90.00
loop_
_atom_site_label
_atom_site_type_symbol
_atom_site_fract_x
_atom_site_fract_y
_atom_site_fract_z
_atom_site_occupancy
Sr1 Sr 0.165 0.250 0.125 1
Al1 Al 0.000 0.000 0.500 1
F1 F 0.000 0.000 0.000 1